Below is an optimized crystal structure of SiGe2N, with properties calculated at the PBE level.

Computed properties:
- mass density (g/cm3) = 4.6
- magnetic moment (Bohr magnetons per cell) = 0.0
- ΔE to the lowest computed polymorph (eV per atom) = 0.000

Lattice parameters (Å, degrees): 5.075 5.075 10.563 90.00 90.00 90.00
Space group I-42d (No. 122)
One atom of each set of equivalent atoms:
1 Si 0.000 0.000 0.000
2 Ge 0.194 0.250 0.625
3 N 0.000 0.000 0.500

Below is an optimized crystal structure of Si2Ge5N6, with properties calculated at the PBE level.

Computed properties:
- mass density (g/cm3) = 4.2
- magnetic moment (Bohr magnetons per cell) = 0.0

Lattice parameters (Å, degrees): 9.791 5.352 15.439 90.00 101.91 90.00
Space group C2/c (No. 15)
One atom of each set of equivalent atoms:
1 Si 0.001 0.069 0.075
2 Ge 0.000 0.305 0.250
3 Ge 0.174 0.339 0.856
4 Ge 0.177 0.492 0.536
5 N 0.067 0.197 0.531
6 N 0.130 0.269 0.129
7 N 0.137 0.013 0.373

Below is an optimized crystal structure of SiGeN3, with properties calculated at the PBE level.

Computed properties:
- mass density (g/cm3) = 4.4
- magnetic moment (Bohr magnetons per cell) = 1.2

Lattice parameters (Å, degrees): 3.788 3.788 3.788 90.00 90.00 90.00
Space group Pm-3m (No. 221)
One atom of each set of equivalent atoms:
1 Si 0.000 0.000 0.000
2 Ge 0.500 0.500 0.500
3 N 0.000 0.500 0.500

Below is an optimized crystal structure of SiGeN3, with properties calculated at the PBE level.

Computed properties:
- mass density (g/cm3) = 5.0
- magnetic moment (Bohr magnetons per cell) = 0.0

Lattice parameters (Å, degrees): 3.631 3.631 3.631 90.00 90.00 90.00
Space group Pm-3m (No. 221)
One atom of each set of equivalent atoms:
1 Si 0.000 0.000 0.000
2 Ge 0.500 0.500 0.500
3 N 0.000 0.000 0.500

Table of VASP energy (hartree per atom), in record order: -0.197, -0.239, -0.198, -0.228